CaPr7Cd4 | PBE | optimized geometry

Unit cell a=15.200 b=5.950 c=10.084 alpha=90.00 beta=122.00 gamma=90.00
Space group C2/m (No. 12)
Unique sites:
Ca  0.000  0.000  0.000
Pr  0.000  0.500  0.000
Pr  0.071  0.000  0.413
Pr  0.204  0.000  0.884
Pr  0.233  0.500  0.690
Cd  0.038  0.500  0.713
Cd  0.182  0.500  0.341

Properties
D(E_F)	29.2	states/eV/cell
energy of formation from the pure elements	-0.016	eV/atom
calculated volume	387	Å³/f.u.
final energy	-3.276	eV per atom
M_tot	0.0	μB per formula unit